## CaTc2N2 (GGA-PBE)

Data for a geometry-optimized CaTc2N2 structure.

Summary:
The total magnetization is 0.00 μB per cell. The total energy comes out at -7.169 eV/atom. As for the space group: No. 127. The calculation puts the energy relative to the elements, uncorrected at 708.1 meV per atom. The density of states at the Fermi level comes out at 11.1 states/eV/cell.

The structure in POSCAR format:
```
CaTc2N2
1.0
6.604 0.000 0.000
0.000 6.604 0.000
0.000 0.000 2.868
Ca Tc N
2 4 4
Cartesian
0.000 0.000 0.000
3.302 3.302 0.000
0.847 2.455 1.434
2.455 5.757 1.434
4.149 0.847 1.434
5.757 4.149 1.434
0.879 4.181 0.000
2.423 0.879 0.000
4.181 5.725 0.000
5.725 2.423 0.000
```



## Ca3TcN3 (GGA-PBE)

Data for a geometry-optimized Ca3TcN3 structure.

Summary:
The total magnetization is 0.00 μB per cell. The total energy comes out at -6.713 eV/atom. As for the space group: No. 63. The calculation puts the energy relative to the elements, uncorrected at -806.1 meV per atom. The density of states at the Fermi level comes out at 6.0 states/eV/cell.

The structure in POSCAR format:
```
Ca3TcN3
1.0
4.290 -5.185 0.000
4.290 5.185 0.000
0.000 0.000 5.070
Ca Tc N
6 2 6
Cartesian
4.290 4.087 3.802
2.443 1.214 3.802
2.443 -1.214 1.267
6.137 1.214 3.802
6.137 -1.214 1.267
4.290 -4.087 1.267
4.290 1.961 1.267
4.290 -1.961 3.802
4.290 3.894 1.267
2.544 1.282 1.267
2.544 -1.282 3.802
6.036 1.282 1.267
6.036 -1.282 3.802
4.290 -3.894 3.802
```